No. 1
This record from the Alexandria database describes a relaxed SrZr2N3 crystal. The functional is PBE.

a = 5.691 Å, b = 6.555 Å, c = 6.555 Å
α = 120.42°, β = 90.00°, γ = 90.00°
Atoms (fractional coordinates):
N  0.054  0.275  0.275
N  0.146  0.666  0.049
Zr  0.016  0.334  0.989
N  0.646  0.334  0.951
N  0.646  0.951  0.334
Sr  0.034  0.676  0.676
N  0.554  0.725  0.725
Zr  0.516  0.011  0.666
Zr  0.016  0.989  0.334
Sr  0.534  0.324  0.324
Zr  0.516  0.666  0.011
N  0.146  0.049  0.666

DOS(E_F): 4.68 states/eV/cell
Calculated total energy: -102.765 eV for the cell shown
Total magnetization: 0.000 μB/cell
Formation energy from raw total energies: -7.6 eV per formula unit



No. 2
This record from the Alexandria database describes a relaxed Rb2InGeI6 crystal. The functional is PBE.

a = 8.361 Å, b = 8.637 Å, c = 11.954 Å
α = 90.00°, β = 89.90°, γ = 90.00°
Atoms (fractional coordinates):
Rb  0.519  0.564  0.751
In  0.000  0.500  0.000
I  0.567  0.007  0.246
In  0.500  0.000  0.500
Rb  0.019  0.936  0.251
I  0.433  0.993  0.754
Rb  0.981  0.064  0.749
I  0.709  0.300  0.535
I  0.933  0.507  0.254
I  0.209  0.200  0.035
I  0.291  0.700  0.465
I  0.199  0.211  0.465
Ge  0.000  0.500  0.500
I  0.699  0.289  0.965
I  0.801  0.789  0.535
Rb  0.481  0.436  0.249
I  0.067  0.493  0.746
Ge  0.500  0.000  0.000
I  0.791  0.800  0.965
I  0.301  0.711  0.035

Distance to the lowest polymorph of the same formula: 0.00 kcal/mol of atoms
DOS(E_F): 6.88 states/eV/cell
Calculated total energy: -53.556 eV for the cell shown
Total magnetization: 0.000 μB/cell
Formation energy from raw total energies: -8.2 eV per formula unit



Copy entry 1 word for word.
This record from the Alexandria database describes a relaxed SrZr2N3 crystal. The functional is PBE.

a = 5.691 Å, b = 6.555 Å, c = 6.555 Å
α = 120.42°, β = 90.00°, γ = 90.00°
Atoms (fractional coordinates):
N  0.054  0.275  0.275
N  0.146  0.666  0.049
Zr  0.016  0.334  0.989
N  0.646  0.334  0.951
N  0.646  0.951  0.334
Sr  0.034  0.676  0.676
N  0.554  0.725  0.725
Zr  0.516  0.011  0.666
Zr  0.016  0.989  0.334
Sr  0.534  0.324  0.324
Zr  0.516  0.666  0.011
N  0.146  0.049  0.666

DOS(E_F): 4.68 states/eV/cell
Calculated total energy: -102.765 eV for the cell shown
Total magnetization: 0.000 μB/cell
Formation energy from raw total energies: -7.6 eV per formula unit